1.
Density functional theory data (PBE) for an optimized crystal structure of Nd2Tm5Sc4.

Values from the calculation:
Total DFT energy (no corrections): -55.50 eV/f.u.
Energy of formation: 0.157 eV per atom
Spin magnetization: 0.00 μB per atom

Cell: 3.3721 8.6693 22.4205 Å, 90.00 90.00 90.00°
Closest atoms and distances in Å follow each position.
Space group Immm (No. 71)
Inequivalent atoms, fractional coordinates:
Nd 0.0000 0.0000 0.2322 [4 per cell]  1 Sc 3.09, 2 Nd 3.37, 2 Tm 3.39
Tm 0.0000 0.1967 0.3629 [8 per cell]  3 Sc 3.26-3.27, 3 Tm 3.37-3.41, 1 Nd 3.39
Tm 0.0000 0.5000 0.0000 [2 per cell]  4 Sc 3.26, 2 Tm 3.37
Sc 0.0000 0.0000 0.0945 [4 per cell]  1 Nd 3.09, 6 Sc 3.12-3.37, 4 Tm 3.27
Sc 0.0000 0.3214 0.5000 [4 per cell]  7 Sc 3.10-3.37, 4 Tm 3.26

2.
Density functional theory data (PBE) for an optimized crystal structure of TiCd2FeB.

Values from the calculation:
Total DFT energy (no corrections): -20.63 eV/f.u.
Energy of formation: 0.848 eV per atom
Spin magnetization: 0.00 μB per atom

Cell: 4.8885 4.8885 3.7207 Å, 90.00 90.00 90.00°
Closest atoms and distances in Å follow each position.
Space group P4/mmm (No. 123)
Inequivalent atoms, fractional coordinates:
Ti 0.0000 0.0000 0.0000 [1 per cell]  8 Cd 3.07
Cd 0.0000 0.5000 0.5000 [2 per cell]  2 Fe 2.44
Fe 0.5000 0.5000 0.5000 [1 per cell]  2 B 1.86
B 0.5000 0.5000 0.0000 [1 per cell]  2 Fe 1.86

3.
Density functional theory data (PBE) for an optimized crystal structure of SiAs2Cl.

Values from the calculation:
Total DFT energy (no corrections): -14.86 eV/f.u.
Uncorrected formation energy: 0.43 eV per atom
Spin magnetization: 0.00 μB per atom

Cell: 3.7488 3.7488 12.0568 Å, 90.00 90.00 90.00°
Closest atoms and distances in Å follow each position.
Space group I4/mmm (No. 139)
Inequivalent atoms, fractional coordinates:
Si 0.0000 0.0000 0.0000 [2 per cell]  4 Cl 2.65
As 0.0000 0.5000 0.2500 [4 per cell]  4 As 2.65
Cl 0.0000 0.0000 0.5000 [2 per cell]  4 Si 2.65

4.
Density functional theory data (PBE) for an optimized crystal structure of Ho2RuO.

Values from the calculation:
Total DFT energy (no corrections): -28.26 eV/f.u.
Uncorrected formation energy: -1.22 eV per atom
Spin magnetization: 0.00 μB per atom

Cell: 3.1866 3.1866 6.6887 Å, 90.00 90.00 90.00°
Closest atoms and distances in Å follow each position.
Space group P4/mmm (No. 123)
Inequivalent atoms, fractional coordinates:
Ho 0.0000 0.0000 0.2378 [2 per cell]  4 O 2.76, 4 Ru 2.86
Ru 0.5000 0.5000 0.5000 [1 per cell]  8 Ho 2.86, 4 Ru 3.19
O 0.5000 0.5000 0.0000 [1 per cell]  8 Ho 2.76

5.
Density functional theory data (PBE) for an optimized crystal structure of SbAu2.

Values from the calculation:
Total DFT energy (no corrections): -10.23 eV/f.u.
Uncorrected formation energy: 0.15 eV per atom
Spin magnetization: 0.00 μB per atom

Cell: 7.7519 7.7519 3.7810 Å, 90.00 90.00 120.00°
Closest atoms and distances in Å follow each position.
Space group P-62m (No. 189)
Inequivalent atoms, fractional coordinates:
Sb 0.0000 0.0000 0.0000 [1 per cell]  9 Au 2.90-2.99
Sb 0.3333 0.6667 0.5000 [2 per cell]  9 Au 2.79-3.06
Au 0.0000 0.2842 0.5000 [3 per cell]  4 Sb 2.79-2.90
Au 0.0000 0.6144 0.0000 [3 per cell]  5 Sb 2.99-3.06, 6 Au 3.18-3.28

6.
Density functional theory data (PBE) for an optimized crystal structure of CdP2F.

Values from the calculation:
Total DFT energy (no corrections): -13.14 eV/f.u.
Uncorrected formation energy: 0.12 eV per atom
Spin magnetization: 0.00 μB per atom

Cell: 6.3129 6.3129 6.3129 Å, 90.00 90.00 90.00°
Closest atoms and distances in Å follow each position.
Space group Fm-3m (No. 225)
Inequivalent atoms, fractional coordinates:
Cd 0.0000 0.0000 0.0000 [4 per cell]  8 P 2.73
P 0.2500 0.2500 0.2500 [8 per cell]  4 F 2.73, 4 Cd 2.73
F 0.0000 0.0000 0.5000 [4 per cell]  8 P 2.73

7.
Density functional theory data (PBE) for an optimized crystal structure of Na8Cd3.

Values from the calculation:
Total DFT energy (no corrections): -13.76 eV/f.u.
Energy of formation: -0.042 eV per atom
Spin magnetization: 0.00 μB per atom

Cell: 10.8072 4.8999 12.7362 Å, 90.00 106.93 90.00°
Closest atoms and distances in Å follow each position.
Space group C2/m (No. 12)
Inequivalent atoms, fractional coordinates:
Na 0.0486 0.0000 0.3177 [4 per cell]  8 Na 3.41-3.48, 4 Cd 3.52-3.57
Na 0.1297 0.0000 0.9563 [4 per cell]  7 Na 3.30-3.51, 5 Cd 3.38-3.46
Na 0.1797 0.5000 0.7752 [4 per cell]  4 Cd 3.43-3.52, 8 Na 3.43-3.52
Na 0.2258 0.0000 0.5922 [4 per cell]  8 Na 3.41-3.54, 4 Cd 3.42-3.53
Cd 0.0000 0.5000 0.5000 [2 per cell]  12 Na 3.42-3.52
Cd 0.0936 0.5000 0.1279 [4 per cell]  1 Cd 3.30, 11 Na 3.38-3.57

8.
Density functional theory data (PBE) for an optimized crystal structure of PuVSiOs.

Values from the calculation:
Total DFT energy (no corrections): -39.68 eV/f.u.
Uncorrected formation energy: 0.11 eV per atom
Spin magnetization: 1.44 μB per atom

Cell: 6.3686 6.3686 6.3686 Å, 90.00 90.00 90.00°
Closest atoms and distances in Å follow each position.
Space group F-43m (No. 216)
Inequivalent atoms, fractional coordinates:
Pu 0.0000 0.0000 0.0000 [4 per cell]  4 Si 2.76, 4 V 2.76
V 0.2500 0.2500 0.7500 [4 per cell]  4 Os 2.76, 4 Pu 2.76
Si 0.2500 0.2500 0.2500 [4 per cell]  4 Os 2.76, 4 Pu 2.76
Os 0.0000 0.0000 0.5000 [4 per cell]  4 V 2.76, 4 Si 2.76

What is the formula in the first record?
Nd2Tm5Sc4